Entry 1:
Below is an optimized crystal structure of V2AgOs, with properties calculated at the PBE level.

Cell: 6.9597 6.9597 5.3857 Å, 90.00 90.00 90.00°
With the nearest neighbours (Å) after each atom.
Space group I-42d (No. 122)
Unique sites:
V 0.2159 0.2500 0.1250 [8 per cell]  2 Os 2.40
Ag 0.0000 0.0000 0.5000 [4 per cell]  2 Os 2.69, 4 V 2.72
Os 0.0000 0.0000 0.0000 [4 per cell]  4 V 2.40

Energy relative to the elements ... 0.628 eV per atom


Entry 2:
Below is an optimized crystal structure of SrLi7Rh5, with properties calculated at the PBE level.

Cell: 5.0493 9.2095 9.0553 Å, 90.00 90.00 90.00°
With the nearest neighbours (Å) after each atom.
Space group Imm2 (No. 44)
Unique sites:
Sr 0.0000 0.0000 0.0000 [2 per cell]  10 Li 3.03-3.35, 2 Rh 3.25
Li 0.0000 0.0000 0.3493 [2 per cell]  5 Li 2.70-2.97, 4 Rh 2.73
Li 0.0000 0.0000 0.6658 [2 per cell]  6 Rh 2.71-2.78, 3 Li 2.87-2.96, 1 Sr 3.03
Li 0.0000 0.2818 0.5093 [4 per cell]  4 Rh 2.59-2.63, 2 Li 2.81
Li 0.0000 0.3508 0.0178 [4 per cell]  5 Rh 2.70-2.77, 4 Li 2.75-2.85
Li 0.0000 0.5000 0.7427 [2 per cell]  4 Rh 2.61, 6 Li 2.70-2.92
Rh 0.0000 0.5000 0.2741 [2 per cell]  4 Rh 2.65, 6 Li 2.70-2.93
Rh 0.2468 0.2517 0.7632 [8 per cell]  3 Rh 2.49-2.65, 7 Li 2.59-2.78

Energy relative to the elements ... -0.181 eV per atom


Entry 3:
Below is an optimized crystal structure of Li2NdHo2Tl2, with properties calculated at the PBE level.

Cell: 4.8724 4.8724 26.8460 Å, 90.00 90.00 120.00°
With the nearest neighbours (Å) after each atom.
Space group R-3m (No. 166, hexagonal axes)
Unique sites:
Li 0.0000 0.0000 0.0957 [6 per cell]  3 Tl 2.81
Nd 0.0000 0.0000 0.5000 [3 per cell]  6 Li 3.40, 2 Ho 3.45, 6 Tl 3.45
Ho 0.0000 0.0000 0.3716 [6 per cell]  4 Tl 3.16-3.50, 3 Li 3.21, 1 Nd 3.45, 3 Ho 3.48
Tl 0.0000 0.0000 0.2411 [6 per cell]  3 Li 2.81

Energy relative to the elements ... -0.183 eV per atom